(1)
SrMg2Os | GGA-PBE | relaxed

Cell: 6.975 6.975 6.975 Å, 90.00 90.00 90.00°
Space group Fm-3m (No. 225)
Symmetry-distinct sites (fractional):
Sr: 0.000 0.000 0.000 (multiplicity 4)
Mg: 0.250 0.250 0.250 (multiplicity 8)
Os: 0.000 0.000 0.500 (multiplicity 4)

density of states at the Fermi level = 2.7 states/eV/f.u.
calculated density = 6.39 g/cm3
E_form = 0.411 eV/atom
magnetization = 0.00 μB/cell



(2)
SrMgOs4 | GGA-PBE | relaxed

Cell: 7.562 7.562 7.562 Å, 90.00 90.00 90.00°
Space group F-43m (No. 216)
Symmetry-distinct sites (fractional):
Sr: 0.000 0.000 0.000 (multiplicity 4)
Mg: 0.250 0.250 0.750 (multiplicity 4)
Os: 0.124 0.124 0.376 (multiplicity 16)

density of states at the Fermi level = 8.9 states/eV/f.u.
calculated density = 13.41 g/cm3
E_form = 0.403 eV/atom
magnetization = 0.00 μB/cell



(3)
SrMgOs2 | GGA-PBE | relaxed

Cell: 2.8912 2.8912 29.3964 Å, 90.00 90.00 120.00°
Space group R-3m (No. 166, hexagonal axes)
Symmetry-distinct sites (fractional):
Sr: 0.0000 0.0000 0.0000 (multiplicity 3)
Mg: 0.0000 0.0000 0.5000 (multiplicity 3)
Os: 0.0000 0.0000 0.2416 (multiplicity 6)

density of states at the Fermi level = 3.5 states/eV/f.u.
calculated density = 11.53 g/cm3
E_form = 0.826 eV/atom
magnetization = 0.00 μB/cell



(4)
SrMgOs2 | GGA-PBE | relaxed

Cell: 2.852 4.638 6.257 Å, 90.00 100.44 90.00°
Space group P2/m (No. 10)
Symmetry-distinct sites (fractional):
Sr: 0.000 0.000 0.000 (multiplicity 1)
Mg: 0.500 0.000 0.500 (multiplicity 1)
Os: 0.304 0.500 0.673 (multiplicity 2)

density of states at the Fermi level = 5.5 states/eV/f.u.
calculated density = 10.05 g/cm3
E_form = 0.670 eV/atom
magnetization = 0.00 μB/cell



(5)
SrMgOs2 | GGA-PBE | relaxed

Cell: 3.176 4.691 9.530 Å, 90.00 90.00 90.00°
Space group Cmmm (No. 65)
Symmetry-distinct sites (fractional):
Sr: 0.000 0.000 0.000 (multiplicity 2)
Mg: 0.000 0.000 0.500 (multiplicity 2)
Os: 0.000 0.500 0.271 (multiplicity 4)

density of states at the Fermi level = 4.3 states/eV/f.u.
calculated density = 11.52 g/cm3
E_form = 0.812 eV/atom
magnetization = 0.00 μB/cell



(6)
SrMg2Os | GGA-PBE | relaxed

Cell: 11.721 3.429 5.269 Å, 90.00 116.49 90.00°
Space group C2/m (No. 12)
Symmetry-distinct sites (fractional):
Sr: 0.000 0.000 0.000 (multiplicity 2)
Mg: 0.199 0.000 0.698 (multiplicity 4)
Os: 0.000 0.500 0.500 (multiplicity 2)

density of states at the Fermi level = 3.9 states/eV/f.u.
calculated density = 5.72 g/cm3
E_form = 0.358 eV/atom
magnetization = 0.00 μB/cell



(7)
SrMgOs2 | GGA-PBE | relaxed

Cell: 2.823 2.823 9.170 Å, 90.00 90.00 90.00°
Space group P4/mmm (No. 123)
Symmetry-distinct sites (fractional):
Sr: 0.000 0.000 0.000 (multiplicity 1)
Mg: 0.000 0.000 0.500 (multiplicity 1)
Os: 0.500 0.500 0.278 (multiplicity 2)

density of states at the Fermi level = 6.9 states/eV/f.u.
calculated density = 11.19 g/cm3
E_form = 0.836 eV/atom
magnetization = 0.31 μB/cell



(8)
SrMgOs2 | GGA-PBE | relaxed

Cell: 3.005 3.005 9.044 Å, 90.00 90.00 90.00°
Space group P4mm (No. 99)
Symmetry-distinct sites (fractional):
Sr: 0.000 0.000 0.000 (multiplicity 1)
Mg: 0.500 0.500 0.356 (multiplicity 1)
Os: 0.000 0.000 0.570 (multiplicity 1)
Os: 0.500 0.500 0.734 (multiplicity 1)

density of states at the Fermi level = 2.9 states/eV/f.u.
calculated density = 10.01 g/cm3
E_form = 0.375 eV/atom
magnetization = 0.00 μB/cell